A relaxed Mg3Os2Pt2 crystal, computed with PBE.

Properties
size of the total moment = 3.313 μB per cell
electronic total energy = -5.286 eV/atom

a = 4.3415 Å, b = 4.3415 Å, c = 20.6819 Å
α = 90.00°, β = 90.00°, γ = 120.00°
With the nearest neighbours (Å) after each atom.
Space group R3m (No. 160, hexagonal axes)
Inequivalent atoms, fractional coordinates:
Mg  0.0000  0.0000  0.0000 [3 per cell]  4 Os 2.52-2.56, 4 Pt 2.63-2.76
Mg  0.0000  0.0000  0.2557 [3 per cell]  4 Pt 2.71-2.77, 4 Os 2.74-2.77, 6 Mg 2.97-2.98
Mg  0.0000  0.0000  0.5117 [3 per cell]  4 Pt 2.53-2.57, 4 Os 2.71-2.77
Os  0.0000  0.0000  0.1218 [3 per cell]  5 Mg 2.52-2.77
Os  0.0000  0.0000  0.6425 [3 per cell]  7 Mg 2.56-2.74
Pt  0.0000  0.0000  0.3894 [3 per cell]  5 Mg 2.53-2.77
Pt  0.0000  0.0000  0.8730 [3 per cell]  7 Mg 2.57-2.71

***

A relaxed PuMgOs crystal, computed with PBE.

Properties
size of the total moment = 16.261 μB per cell
electronic total energy = -8.056 eV/atom

a = 6.3925 Å, b = 6.3925 Å, c = 6.3925 Å
α = 90.00°, β = 90.00°, γ = 90.00°
With the nearest neighbours (Å) after each atom.
Space group F-43m (No. 216)
Inequivalent atoms, fractional coordinates:
Pu  0.0000  0.0000  0.0000 [4 per cell]  4 Os 2.77, 4 Mg 2.77
Mg  0.2500  0.2500  0.7500 [4 per cell]  4 Pu 2.77
Os  0.2500  0.2500  0.2500 [4 per cell]  4 Pu 2.77

***

A relaxed PuMgOs crystal, computed with PBE.

Properties
size of the total moment = 17.089 μB per cell
electronic total energy = -8.750 eV/atom

a = 6.3557 Å, b = 6.3557 Å, c = 6.3557 Å
α = 90.00°, β = 90.00°, γ = 90.00°
With the nearest neighbours (Å) after each atom.
Space group F-43m (No. 216)
Inequivalent atoms, fractional coordinates:
Pu  0.0000  0.0000  0.0000 [4 per cell]  4 Os 2.75
Mg  0.0000  0.0000  0.5000 [4 per cell]  4 Os 2.75
Os  0.2500  0.2500  0.7500 [4 per cell]  4 Mg 2.75, 4 Pu 2.75

***

A relaxed RbMgReOs crystal, computed with PBE.

Properties
energy relative to the lowest polymorph listed for this composition = 0 meV/atom
size of the total moment = 0.010 μB per cell

a = 6.6628 Å, b = 6.6628 Å, c = 6.6628 Å
α = 90.00°, β = 90.00°, γ = 90.00°
With the nearest neighbours (Å) after each atom.
Space group F-43m (No. 216)
Inequivalent atoms, fractional coordinates:
Rb  0.0000  0.0000  0.0000 [4 per cell]  4 Re 2.89, 4 Mg 2.89
Mg  0.2500  0.2500  0.7500 [4 per cell]  4 Os 2.89, 4 Rb 2.89
Re  0.2500  0.2500  0.2500 [4 per cell]  4 Os 2.89, 4 Rb 2.89
Os  0.0000  0.0000  0.5000 [4 per cell]  4 Mg 2.89, 4 Re 2.89

***

A relaxed RbMgReOs crystal, computed with PBE.

Properties
energy relative to the lowest polymorph listed for this composition = 131 meV/atom
size of the total moment = 0.116 μB per cell

a = 6.7244 Å, b = 6.7244 Å, c = 6.7244 Å
α = 90.00°, β = 90.00°, γ = 90.00°
With the nearest neighbours (Å) after each atom.
Space group F-43m (No. 216)
Inequivalent atoms, fractional coordinates:
Rb  0.0000  0.0000  0.0000 [4 per cell]  4 Mg 2.91, 4 Os 2.91
Mg  0.2500  0.2500  0.7500 [4 per cell]  4 Rb 2.91, 4 Re 2.91
Re  0.0000  0.0000  0.5000 [4 per cell]  4 Os 2.91, 4 Mg 2.91
Os  0.2500  0.2500  0.2500 [4 per cell]  4 Re 2.91, 4 Rb 2.91

***

A relaxed RbMgReOs crystal, computed with PBE.

Properties
energy relative to the lowest polymorph listed for this composition = 672 meV/atom
size of the total moment = 12.359 μB per cell

a = 6.8150 Å, b = 6.8150 Å, c = 6.8150 Å
α = 90.00°, β = 90.00°, γ = 90.00°
With the nearest neighbours (Å) after each atom.
Space group F-43m (No. 216)
Inequivalent atoms, fractional coordinates:
Rb  0.0000  0.0000  0.0000 [4 per cell]  4 Re 2.95, 4 Os 2.95
Mg  0.0000  0.0000  0.5000 [4 per cell]  4 Os 2.95, 4 Re 2.95
Re  0.2500  0.2500  0.2500 [4 per cell]  4 Mg 2.95, 4 Rb 2.95
Os  0.2500  0.2500  0.7500 [4 per cell]  4 Mg 2.95, 4 Rb 2.95

***

A relaxed RbMgTcOs crystal, computed with PBE.

Properties
energy relative to the lowest polymorph listed for this composition = 111 meV/atom
size of the total moment = 0.197 μB per cell

a = 6.7349 Å, b = 6.7349 Å, c = 6.7349 Å
α = 90.00°, β = 90.00°, γ = 90.00°
With the nearest neighbours (Å) after each atom.
Space group F-43m (No. 216)
Inequivalent atoms, fractional coordinates:
Rb  0.0000  0.0000  0.0000 [4 per cell]  4 Mg 2.92, 4 Os 2.92
Mg  0.2500  0.2500  0.7500 [4 per cell]  4 Tc 2.92, 4 Rb 2.92
Tc  0.0000  0.0000  0.5000 [4 per cell]  4 Os 2.92, 4 Mg 2.92
Os  0.2500  0.2500  0.2500 [4 per cell]  4 Rb 2.92, 4 Tc 2.92

***

A relaxed RbMgTcOs crystal, computed with PBE.

Properties
energy relative to the lowest polymorph listed for this composition = 0 meV/atom
size of the total moment = 0.219 μB per cell

a = 6.6874 Å, b = 6.6874 Å, c = 6.6874 Å
α = 90.00°, β = 90.00°, γ = 90.00°
With the nearest neighbours (Å) after each atom.
Space group F-43m (No. 216)
Inequivalent atoms, fractional coordinates:
Rb  0.0000  0.0000  0.0000 [4 per cell]  4 Tc 2.90, 4 Mg 2.90
Mg  0.2500  0.2500  0.7500 [4 per cell]  4 Os 2.90, 4 Rb 2.90
Tc  0.2500  0.2500  0.2500 [4 per cell]  4 Os 2.90, 4 Rb 2.90
Os  0.0000  0.0000  0.5000 [4 per cell]  4 Mg 2.90, 4 Tc 2.90

***

A relaxed RbMgTcOs crystal, computed with PBE.

Properties
energy relative to the lowest polymorph listed for this composition = 494 meV/atom
size of the total moment = 13.390 μB per cell

a = 6.8401 Å, b = 6.8401 Å, c = 6.8401 Å
α = 90.00°, β = 90.00°, γ = 90.00°
With the nearest neighbours (Å) after each atom.
Space group F-43m (No. 216)
Inequivalent atoms, fractional coordinates:
Rb  0.0000  0.0000  0.0000 [4 per cell]  4 Tc 2.96, 4 Os 2.96
Mg  0.0000  0.0000  0.5000 [4 per cell]  4 Tc 2.96, 4 Os 2.96
Tc  0.2500  0.2500  0.2500 [4 per cell]  4 Mg 2.96, 4 Rb 2.96
Os  0.2500  0.2500  0.7500 [4 per cell]  4 Mg 2.96, 4 Rb 2.96

***

A relaxed Mg2ScOs crystal, computed with PBE.

Properties
size of the total moment = 0.020 μB per cell
electronic total energy = -5.210 eV/atom

a = 6.5771 Å, b = 6.5771 Å, c = 6.5771 Å
α = 90.00°, β = 90.00°, γ = 90.00°
With the nearest neighbours (Å) after each atom.
Space group F-43m (No. 216)
Inequivalent atoms, fractional coordinates:
Mg  0.0000  0.0000  0.0000 [4 per cell]  4 Mg 2.85, 4 Sc 2.85
Mg  0.2500  0.2500  0.2500 [4 per cell]  4 Os 2.85, 4 Mg 2.85
Sc  0.2500  0.2500  0.7500 [4 per cell]  4 Os 2.85, 4 Mg 2.85
Os  0.0000  0.0000  0.5000 [4 per cell]  4 Sc 2.85, 4 Mg 2.85

***

A relaxed MgScTaOs crystal, computed with PBE.

Properties
energy relative to the lowest polymorph listed for this composition = 21 meV/atom
size of the total moment = 0.005 μB per cell

a = 6.4969 Å, b = 6.4969 Å, c = 6.4969 Å
α = 90.00°, β = 90.00°, γ = 90.00°
With the nearest neighbours (Å) after each atom.
Space group F-43m (No. 216)
Inequivalent atoms, fractional coordinates:
Mg  0.0000  0.0000  0.0000 [4 per cell]  4 Sc 2.81, 4 Os 2.81
Sc  0.2500  0.2500  0.7500 [4 per cell]  4 Ta 2.81, 4 Mg 2.81
Ta  0.0000  0.0000  0.5000 [4 per cell]  4 Os 2.81, 4 Sc 2.81
Os  0.2500  0.2500  0.2500 [4 per cell]  4 Mg 2.81, 4 Ta 2.81

***

A relaxed MgScTaOs crystal, computed with PBE.

Properties
energy relative to the lowest polymorph listed for this composition = 0 meV/atom
size of the total moment = 0.002 μB per cell

a = 6.5332 Å, b = 6.5332 Å, c = 6.5332 Å
α = 90.00°, β = 90.00°, γ = 90.00°
With the nearest neighbours (Å) after each atom.
Space group F-43m (No. 216)
Inequivalent atoms, fractional coordinates:
Mg  0.0000  0.0000  0.0000 [4 per cell]  4 Sc 2.83, 4 Ta 2.83
Sc  0.2500  0.2500  0.7500 [4 per cell]  4 Os 2.83, 4 Mg 2.83
Ta  0.2500  0.2500  0.2500 [4 per cell]  4 Os 2.83, 4 Mg 2.83
Os  0.0000  0.0000  0.5000 [4 per cell]  4 Ta 2.83, 4 Sc 2.83

***

A relaxed MgOsSe crystal, computed with PBE.

Properties
size of the total moment = 0.012 μB per cell
electronic total energy = -4.823 eV/atom

a = 4.7494 Å, b = 4.7494 Å, c = 2.7036 Å
α = 90.00°, β = 90.00°, γ = 120.00°
With the nearest neighbours (Å) after each atom.
Space group P-6m2 (No. 187)
Inequivalent atoms, fractional coordinates:
Mg  0.0000  0.0000  0.0000 [1 per cell]  2 Mg 2.70, 3 Os 2.74, 3 Se 2.74
Os  0.6667  0.3333  0.0000 [1 per cell]  2 Os 2.70, 3 Mg 2.74, 3 Se 2.74
Se  0.3333  0.6667  0.0000 [1 per cell]  2 Se 2.70, 3 Mg 2.74, 3 Os 2.74

***

A relaxed Sr2MgSi2Os crystal, computed with PBE.

Properties
size of the total moment = 0.047 μB per cell
electronic total energy = -4.730 eV/atom

a = 4.3821 Å, b = 4.3821 Å, c = 7.2257 Å
α = 90.00°, β = 90.00°, γ = 90.00°
With the nearest neighbours (Å) after each atom.
Space group P-4m2 (No. 115)
Inequivalent atoms, fractional coordinates:
Sr  0.0000  0.5000  0.1644 [2 per cell]  2 Os 3.27, 2 Mg 3.27, 5 Si 3.29-3.49
Mg  0.0000  0.0000  0.5000 [1 per cell]  4 Si 2.55
Si  0.0000  0.5000  0.6817 [2 per cell]  2 Os 2.55, 2 Mg 2.55
Os  0.5000  0.5000  0.5000 [1 per cell]  4 Si 2.55